# 1
DyScUO6 | PBE-GGA | relaxed

Unit cell a=5.5594 b=5.5594 c=9.5216 alpha=90.00 beta=90.00 gamma=120.00
Space group P-31c (No. 163)
Asymmetric unit:
Dy  0.0000  0.0000  0.0000 x2
Sc  0.3333  0.6667  0.2500 x2
U  0.3333  0.6667  0.7500 x2
O  0.0046  0.3504  0.6365 x12

Summary:
* calculated volume: 14.159 A^3/atom
* N(E_F): 0.00 states/eV/cell
* E_form (uncorrected): -3.361 eV per atom
* total magnetization: 0.00 μB/cell

# 2
DyY2ScO6 | PBE-GGA | relaxed

Unit cell a=5.7135 b=5.7135 c=14.9470 alpha=90.00 beta=90.00 gamma=120.00
Space group R3 (No. 146, hexagonal axes)
Asymmetric unit:
Dy  0.0000  0.0000  0.0000 x3
Y  0.0000  0.0000  0.2796 x3
Y  0.0000  0.0000  0.7822 x3
Sc  0.0000  0.0000  0.4948 x3
O  0.0449  0.3517  0.5578 x9
O  0.0518  0.6753  0.0610 x9

Summary:
* calculated volume: 14.086 A^3/atom
* N(E_F): 0.00 states/eV/cell
* E_form (uncorrected): -3.503 eV per atom
* total magnetization: 0.00 μB/cell

# 3
Dy2YScO6 | PBE-GGA | relaxed

Unit cell a=5.7100 b=5.7100 c=14.9329 alpha=90.00 beta=90.00 gamma=120.00
Space group R3 (No. 146, hexagonal axes)
Asymmetric unit:
Dy  0.0000  0.0000  0.0000 x3
Dy  0.0000  0.0000  0.4974 x3
Y  0.0000  0.0000  0.2179 x3
Sc  0.0000  0.0000  0.7125 x3
O  0.0442  0.3521  0.7752 x9
O  0.0514  0.6734  0.2785 x9

Summary:
* calculated volume: 14.055 A^3/atom
* N(E_F): 0.00 states/eV/cell
* E_form (uncorrected): -3.513 eV per atom
* total magnetization: 0.00 μB/cell

Which formula does entry 2 have?
DyY2ScO6